1.
Below is a relaxed structure of Y4POs, with properties calculated at the GGA-PBE level.

It has space group F-43m (No. 216), with a = 8.342 Å, b = 8.342 Å, c = 8.342 Å, α = 90.00°, β = 90.00° and γ = 90.00°. The asymmetric unit holds Y at (0.124, 0.124, 0.124), P at (0.000, 0.000, 0.500) and Os at (0.250, 0.250, 0.750).

=====

2.
Below is a relaxed structure of Y2POs, with properties calculated at the GGA-PBE level.

It has space group Amm2 (No. 38), with a = 3.944 Å, b = 4.113 Å, c = 10.493 Å, α = 90.00°, β = 90.00° and γ = 90.00°. The asymmetric unit holds Y at (0.000, 0.000, 0.000), Y at (0.500, 0.000, 0.281), P at (0.500, 0.000, 0.572) and Os at (0.000, 0.000, 0.710).

=====

Number 1: calculated formation energy 5.155 eV per formula unit, total moment 3.96 μB per cell, V 580 Å³ per cell. Number 2: calculated formation energy -3.085 eV per formula unit, total moment 0.00 μB per cell, V 170 Å³ per cell.